This record from Alexandria describes a geometry-optimized LiCe3Tm2Te6 structure. The functional is PBE.

abc: 4.366 8.841 9.862
angles: 103.85 102.79 90.00
Site moments in Bohr magnetons follow the coordinates.
Element x y z (fractional)
1 Te 0.661 0.093 0.321  0.01
2 Te 0.339 0.907 0.679  0.01
3 Te 0.003 0.236 0.007  0.01
4 Te 0.670 0.577 0.340  0.01
5 Te 0.997 0.764 0.993  0.01
6 Te 0.330 0.423 0.660  0.01
7 Ce 0.167 0.835 0.334  -1.05
8 Ce 0.500 0.500 0.000  -1.02
9 Ce 0.833 0.165 0.666  -1.05
10 Tm 0.834 0.664 0.668  0.00
11 Tm 0.166 0.336 0.332  0.00
12 Li 0.500 0.000 0.000  0.00

Summary:
* uncorrected energy: -5.245 eV per atom
* formation energy (no corrections): -1.286 eV/atom
* symmetry: C2/m (12)

This record from Alexandria describes a geometry-optimized LiCe2TmTe4 structure. The functional is PBE.

abc: 4.379 7.639 7.616
angles: 70.76 90.00 90.00
Site moments in Bohr magnetons follow the coordinates.
Element x y z (fractional)
1 Ce 0.500 0.000 0.500  0.99
2 Ce 0.000 0.000 0.000  -0.97
3 Li 0.500 0.500 0.000  0.00
4 Te 0.500 0.269 0.748  0.01
5 Te 0.000 0.270 0.241  0.00
6 Te 0.000 0.730 0.759  0.00
7 Te 0.500 0.731 0.252  0.01
8 Tm 0.000 0.500 0.500  0.00

Summary:
* uncorrected energy: -5.129 eV per atom
* formation energy (no corrections): -1.276 eV/atom
* symmetry: P2/m (10)

This record from Alexandria describes a geometry-optimized LiCe4Tm3Te8 structure. The functional is PBE.

abc: 8.705 8.877 8.706
angles: 119.37 120.00 90.00
Site moments in Bohr magnetons follow the coordinates.
Element x y z (fractional)
1 Te 0.241 0.730 0.482  0.01
2 Te 0.241 0.730 0.989  0.01
3 Te 0.255 0.265 0.510  0.01
4 Te 0.759 0.270 0.011  0.01
5 Te 0.745 0.735 0.490  0.01
6 Te 0.748 0.730 0.989  0.01
7 Te 0.759 0.270 0.518  0.01
8 Te 0.252 0.270 0.011  0.01
9 Ce 0.000 0.000 0.500  -1.07
10 Ce 0.000 0.000 0.000  -1.07
11 Ce 0.500 0.000 0.000  -1.13
12 Ce 0.500 0.000 0.500  -1.07
13 Tm 0.500 0.500 0.500  -0.01
14 Tm 0.500 0.500 0.000  -0.01
15 Tm 0.000 0.500 0.500  -0.01
16 Li 0.000 0.500 0.000  0.00

Summary:
* uncorrected energy: -5.303 eV per atom
* formation energy (no corrections): -1.291 eV/atom
* symmetry: R-3m (166)

This record from Alexandria describes a geometry-optimized Li4CeTm3Te8 structure. The functional is PBE.

abc: 8.690 8.663 8.689
angles: 120.13 120.00 90.00
Site moments in Bohr magnetons follow the coordinates.
Element x y z (fractional)
1 Li 0.500 0.000 0.000  0.00
2 Li 0.000 0.000 0.000  0.00
3 Li 0.500 0.000 0.500  0.00
4 Li 0.000 0.000 0.500  0.00
5 Ce 0.000 0.500 0.000  0.93
6 Te 0.743 0.244 0.000  -0.01
7 Te 0.743 0.756 0.000  -0.01
8 Te 0.743 0.244 0.486  -0.01
9 Te 0.257 0.244 0.000  -0.01
10 Te 0.250 0.249 0.499  0.00
11 Te 0.257 0.756 0.514  -0.01
12 Te 0.750 0.751 0.501  0.00
13 Te 0.257 0.756 0.000  -0.01
14 Tm 0.500 0.500 0.500  0.01
15 Tm 0.000 0.500 0.500  0.01
16 Tm 0.500 0.500 0.000  0.01

Summary:
* uncorrected energy: -4.512 eV per atom
* formation energy (no corrections): -1.253 eV/atom
* symmetry: R-3m (166)

This record from Alexandria describes a geometry-optimized LiCe3Tm3Te8 structure. The functional is PBE.

abc: 8.724 8.724 8.796
angles: 119.72 90.01 120.00
Site moments in Bohr magnetons follow the coordinates.
Element x y z (fractional)
1 Te 0.745 0.490 0.735  -0.01
2 Te 0.751 0.010 0.261  -0.01
3 Te 0.742 0.990 0.739  -0.01
4 Te 0.249 0.497 0.739  -0.01
5 Te 0.249 0.990 0.739  -0.01
6 Te 0.255 0.510 0.265  -0.01
7 Te 0.258 0.010 0.261  -0.01
8 Te 0.751 0.503 0.261  -0.01
9 Tm 0.500 0.500 0.500  0.01
10 Tm 0.000 0.500 0.500  0.01
11 Tm 0.500 0.000 0.500  0.01
12 Ce 0.000 0.500 0.000  0.97
13 Ce 0.500 0.500 0.000  0.97
14 Ce 0.000 0.000 0.000  0.97
15 Li 0.000 0.000 0.500  0.00

Summary:
* uncorrected energy: -5.177 eV per atom
* formation energy (no corrections): -1.292 eV/atom
* symmetry: R-3m (166)

This record from Alexandria describes a geometry-optimized Li3CeU2Te6 structure. The functional is PBE.

abc: 7.545 7.545 7.574
angles: 99.56 99.56 120.00
Site moments in Bohr magnetons follow the coordinates.
Element x y z (fractional)
1 Li 0.500 0.500 0.500  0.00
2 Li 0.834 0.166 0.500  0.00
3 Li 0.166 0.834 0.500  0.00
4 Te 0.252 0.252 0.737  -0.05
5 Te 0.913 0.574 0.739  -0.05
6 Te 0.087 0.426 0.261  -0.05
7 Te 0.426 0.087 0.261  -0.05
8 Te 0.748 0.748 0.263  -0.05
9 Te 0.574 0.913 0.739  -0.05
10 Ce 0.000 0.000 0.000  1.04
11 U 0.666 0.334 0.000  2.70
12 U 0.334 0.666 0.000  2.70

Summary:
* uncorrected energy: -5.337 eV per atom
* formation energy (no corrections): -0.912 eV/atom
* symmetry: C2/m (12)

This record from Alexandria describes a geometry-optimized LiCeY2Te4 structure. The functional is PBE.

abc: 4.367 7.607 7.633
angles: 109.23 90.00 90.00
Site moments in Bohr magnetons follow the coordinates.
Element x y z (fractional)
1 Y 0.500 0.000 0.500  0.01
2 Y 0.000 0.500 0.500  0.07
3 Te 0.000 0.240 0.747  -0.01
4 Te 0.500 0.241 0.248  -0.01
5 Te 0.000 0.760 0.253  -0.01
6 Te 0.500 0.759 0.752  -0.01
7 Ce 0.500 0.500 0.000  1.00
8 Li 0.000 0.000 0.000  0.00

Summary:
* uncorrected energy: -5.495 eV per atom
* formation energy (no corrections): -1.328 eV/atom
* symmetry: P2/m (10)

This record from Alexandria describes a geometry-optimized LiCeYTe3 structure. The functional is PBE.

abc: 4.306 9.000 9.584
angles: 103.90 90.00 90.00
Site moments in Bohr magnetons follow the coordinates.
Element x y z (fractional)
1 Te 0.750 0.433 0.175  -0.01
2 Te 0.750 0.907 0.127  -0.01
3 Te 0.750 0.232 0.503  -0.01
4 Te 0.250 0.768 0.497  -0.01
5 Te 0.250 0.093 0.873  -0.01
6 Te 0.250 0.567 0.825  -0.01
7 Ce 0.250 0.187 0.232  1.13
8 Ce 0.750 0.813 0.768  1.13
9 Y 0.750 0.331 0.842  0.07
10 Y 0.250 0.669 0.158  0.07
11 Li 0.750 0.914 0.414  0.00
12 Li 0.250 0.086 0.586  0.00

Summary:
* uncorrected energy: -5.228 eV per atom
* formation energy (no corrections): -1.272 eV/atom
* symmetry: P2_1/m (11)

This record from Alexandria describes a geometry-optimized Li4CeY3Te8 structure. The functional is PBE.

abc: 8.753 8.695 8.752
angles: 120.25 120.00 90.00
Site moments in Bohr magnetons follow the coordinates.
Element x y z (fractional)
1 Te 0.744 0.242 0.488  -0.01
2 Te 0.752 0.755 0.503  0.00
3 Te 0.744 0.242 0.998  -0.01
4 Te 0.746 0.758 0.002  -0.01
5 Te 0.248 0.245 0.497  0.00
6 Te 0.254 0.242 0.998  -0.01
7 Te 0.256 0.758 0.002  -0.01
8 Te 0.256 0.758 0.512  -0.01
9 Ce 0.000 0.500 0.000  0.92
10 Y 0.000 0.500 0.500  0.01
11 Y 0.500 0.500 0.500  0.01
12 Y 0.500 0.500 0.000  0.01
13 Li 0.000 0.000 0.500  0.00
14 Li 0.500 0.000 0.000  0.00
15 Li 0.500 0.000 0.500  0.00
16 Li 0.000 0.000 0.000  0.00

Summary:
* uncorrected energy: -4.914 eV per atom
* formation energy (no corrections): -1.282 eV/atom
* symmetry: R-3m (166)

This record from Alexandria describes a geometry-optimized LiCe3Y2Te6 structure. The functional is PBE.

abc: 4.402 8.868 9.901
angles: 103.38 102.84 90.00
Site moments in Bohr magnetons follow the coordinates.
Element x y z (fractional)
1 Te 0.339 0.911 0.679  0.01
2 Te 0.669 0.580 0.337  0.01
3 Te 0.002 0.237 0.005  0.02
4 Te 0.998 0.763 0.995  0.02
5 Te 0.661 0.089 0.321  0.01
6 Te 0.331 0.420 0.663  0.01
7 Y 0.833 0.663 0.666  -0.01
8 Y 0.167 0.337 0.334  -0.01
9 Ce 0.832 0.165 0.665  -1.03
10 Ce 0.168 0.835 0.335  -1.03
11 Ce 0.500 0.500 0.000  -1.01
12 Li 0.500 0.000 0.000  0.00

Summary:
* uncorrected energy: -5.619 eV per atom
* formation energy (no corrections): -1.327 eV/atom
* symmetry: C2/m (12)

This record from Alexandria describes a geometry-optimized Li3CeZr2Te6 structure. The functional is PBE.

abc: 7.209 7.209 7.577
angles: 99.13 99.13 120.13
Site moments in Bohr magnetons follow the coordinates.
Element x y z (fractional)
1 Li 0.161 0.839 0.500  0.00
2 Li 0.500 0.500 0.500  0.00
3 Li 0.839 0.161 0.500  0.00
4 Te 0.085 0.436 0.255  -0.01
5 Te 0.266 0.266 0.746  -0.01
6 Te 0.436 0.085 0.255  -0.01
7 Te 0.564 0.915 0.745  -0.01
8 Te 0.915 0.564 0.745  -0.01
9 Te 0.734 0.734 0.254  -0.01
10 Zr 0.332 0.668 0.000  0.32
11 Zr 0.668 0.332 0.000  0.32
12 Ce 0.000 0.000 0.000  0.91

Summary:
* uncorrected energy: -4.973 eV per atom
* formation energy (no corrections): -1.005 eV/atom
* symmetry: C2/m (12)

This record from Alexandria describes a geometry-optimized LiCeTh structure. The functional is PBE.

abc: 3.385 3.385 7.658
angles: 102.77 102.77 90.00
Site moments in Bohr magnetons follow the coordinates.
Element x y z (fractional)
1 Ce 0.336 0.336 0.671  0.49
2 Li 0.001 0.001 0.001  0.01
3 Th 0.664 0.664 0.328  -0.03

Summary:
* uncorrected energy: -4.898 eV per atom
* E_form: 55 kJ/mol of formula units
* symmetry: I4mm (107)

This record from Alexandria describes a geometry-optimized LiCeTh2 structure. The functional is PBE.

abc: 3.408 3.408 12.512
angles: 82.17 82.17 60.00
Element x y z (fractional)
1 Ce 0.500 0.500 0.500
2 Th 0.911 0.911 0.266
3 Th 0.089 0.089 0.734
4 Li 0.000 0.000 0.000

Summary:
* uncorrected energy: -5.401 eV per atom
* E_form: 104 kJ/mol of formula units
* symmetry: R-3m (166)

This record from Alexandria describes a geometry-optimized LiCeTh structure. The functional is PBE.

abc: 4.090 4.090 10.209
angles: 90.00 90.00 90.00
Site moments in Bohr magnetons follow the coordinates.
Element x y z (fractional)
1 Ce 0.500 0.000 0.734  0.49
2 Ce 0.000 0.500 0.266  0.49
3 Th 0.500 0.000 0.408  0.02
4 Th 0.000 0.500 0.592  0.02
5 Li 0.500 0.000 0.070  0.01
6 Li 0.000 0.500 0.930  0.01

Summary:
* uncorrected energy: -4.868 eV per atom
* E_form: 64 kJ/mol of formula units
* symmetry: P4/nmm (129)

This record from Alexandria describes a geometry-optimized LiCeTh2 structure. The functional is PBE.

abc: 3.445 3.445 11.607
angles: 81.47 81.47 60.00
Element x y z (fractional)
1 Ce 0.500 0.500 0.501
2 Th 0.082 0.082 0.753
3 Th 0.251 0.251 0.247
4 Li 0.667 0.667 0.999

Summary:
* uncorrected energy: -5.517 eV per atom
* E_form: 60 kJ/mol of formula units
* symmetry: R3m (160)

This record from Alexandria describes a geometry-optimized LiCeTh structure. The functional is PBE.

abc: 3.405 3.405 8.516
angles: 90.00 90.00 120.00
Site moments in Bohr magnetons follow the coordinates.
Element x y z (fractional)
1 Ce 0.667 0.333 0.332  0.64
2 Th 0.333 0.667 0.670  -0.03
3 Li 0.000 0.000 0.999  0.00

Summary:
* uncorrected energy: -4.904 eV per atom
* E_form: 54 kJ/mol of formula units
* symmetry: P3m1 (156)

This record from Alexandria describes a geometry-optimized LiCe2Th structure. The functional is PBE.

abc: 5.088 4.599 4.599
angles: 90.00 90.00 90.00
Site moments in Bohr magnetons follow the coordinates.
Element x y z (fractional)
1 Ce 0.000 0.500 0.000  0.52
2 Ce 0.000 0.000 0.500  0.52
3 Li 0.500 0.500 0.500  0.00
4 Th 0.500 0.000 0.000  0.07

Summary:
* uncorrected energy: -5.040 eV per atom
* E_form: 101 kJ/mol of formula units
* symmetry: P4/mmm (123)

This record from Alexandria describes a geometry-optimized LiCeTh2 structure. The functional is PBE.

abc: 3.506 3.506 9.087
angles: 90.00 90.00 90.00
Element x y z (fractional)
1 Th 0.000 0.000 0.770
2 Th 0.000 0.000 0.230
3 Ce 0.500 0.500 0.500
4 Li 0.500 0.500 0.000

Summary:
* uncorrected energy: -5.508 eV per atom
* E_form: 63 kJ/mol of formula units
* symmetry: P4/mmm (123)

This record from Alexandria describes a geometry-optimized LiCe2Th structure. The functional is PBE.

abc: 3.480 3.480 9.112
angles: 90.00 90.00 90.00
Site moments in Bohr magnetons follow the coordinates.
Element x y z (fractional)
1 Ce 0.000 0.000 0.759  0.54
2 Ce 0.000 0.000 0.241  0.54
3 Th 0.500 0.500 0.500  -0.01
4 Li 0.500 0.500 0.000  0.01

Summary:
* uncorrected energy: -5.170 eV per atom
* E_form: 50 kJ/mol of formula units
* symmetry: P4/mmm (123)

This record from Alexandria describes a geometry-optimized LiCe2Th structure. The functional is PBE.

abc: 3.380 3.380 12.279
angles: 82.09 82.09 60.00
Site moments in Bohr magnetons follow the coordinates.
Element x y z (fractional)
1 Ce 0.089 0.089 0.732  0.73
2 Ce 0.911 0.911 0.268  0.73
3 Li 0.000 0.000 0.000  0.00
4 Th 0.500 0.500 0.500  -0.03

Summary:
* uncorrected energy: -5.084 eV per atom
* E_form: 83 kJ/mol of formula units
* symmetry: R-3m (166)